No. 1
## La2IrRu (PBE)

Data for La2IrRu after structural relaxation.

Geometry as POSCAR:
```
La2IrRu
1.0
-3.798 3.798 3.199
3.798 -3.798 3.199
3.798 3.798 -3.199
La Ir Ru
4 2 2
Cartesian
1.899 1.822 -0.800 La
1.976 -1.899 3.999 La
1.899 1.976 2.399 La
1.822 5.697 0.800 La
3.798 0.000 1.599 Ir
0.000 0.000 3.199 Ir
0.000 0.000 0.000 Ru
0.000 3.798 1.599 Ru
```

Values from the calculation:
* E_form: -0.126 eV per atom
* final energy: -56.99 eV per cell

No. 2
## Li7Tl4Pb (PBE)

Data for Li7Tl4Pb after structural relaxation.

Geometry as POSCAR:
```
Li7Tl4Pb
1.0
6.870 -2.602 0.000
6.870 2.602 0.000
-3.999 0.000 7.326
Li Tl Pb
7 4 1
Cartesian
0.000 0.000 0.000 Li
0.776 0.000 5.440 Li
3.669 0.000 0.857 Li
3.493 0.000 4.175 Li
6.247 0.000 3.151 Li
6.072 0.000 6.469 Li
8.964 0.000 1.886 Li
-1.915 0.000 5.274 Tl
1.077 0.000 2.575 Tl
8.663 0.000 4.751 Tl
11.655 0.000 2.052 Tl
6.870 0.000 0.000 Pb
```

Values from the calculation:
* E_form: -0.144 eV per atom
* final energy: -28.30 eV per cell

No. 3
## Ce6PuAu2 (PBE)

Data for Ce6PuAu2 after structural relaxation.

Geometry as POSCAR:
```
Ce6PuAu2
1.0
7.575 -2.291 0.000
7.575 2.291 0.000
-3.404 0.000 6.752
Ce Pu Au
6 1 2
Cartesian
-0.105 0.000 2.473 Ce
2.651 0.000 2.271 Ce
6.126 0.000 0.074 Ce
5.620 0.000 6.679 Ce
9.096 0.000 4.481 Ce
11.852 0.000 4.279 Ce
0.000 0.000 0.000 Pu
-0.213 0.000 5.665 Au
11.960 0.000 1.087 Au
```

Values from the calculation:
* energy relative to the lowest polymorph listed for this composition: 210 meV/atom
* E_form: -0.140 eV per atom
* final energy: -57.75 eV per cell

No. 4
## Cs2SmMgI6 (PBE)

Data for Cs2SmMgI6 after structural relaxation.

Geometry as POSCAR:
```
Cs2SmMgI6
1.0
8.829 0.000 0.000
0.000 12.487 0.000
0.000 0.000 8.828
Cs Sm Mg I
4 2 2 12
Cartesian
2.207 0.008 2.199 Cs
2.207 6.235 2.199 Cs
6.622 6.252 6.629 Cs
6.622 12.479 6.629 Cs
2.207 9.365 6.620 Sm
6.622 3.122 2.207 Sm
2.207 3.122 6.617 Mg
6.622 9.365 2.210 Mg
0.007 9.365 8.810 I
0.017 9.365 4.420 I
2.207 6.260 6.626 I
2.207 12.471 6.626 I
4.398 9.365 4.420 I
4.408 9.365 8.810 I
4.421 3.122 0.018 I
4.431 3.122 4.408 I
6.622 0.017 2.201 I
6.622 6.227 2.201 I
8.812 3.122 4.408 I
8.822 3.122 0.018 I
```

Values from the calculation:
* formation energy from raw total energies: -1.2456 eV per atom
* final energy: -59.56 eV per cell

No. 5
## AcHgGe4 (PBE)

Data for AcHgGe4 after structural relaxation.

Geometry as POSCAR:
```
AcHgGe4
1.0
0.000 4.111 4.111
4.111 0.000 4.111
4.111 4.111 0.000
Ac Hg Ge
1 1 4
Cartesian
0.000 0.000 0.000 Ac
2.055 2.055 2.055 Hg
5.149 3.073 3.073 Ge
3.073 5.149 3.073 Ge
3.073 3.073 5.149 Ge
5.149 5.149 5.149 Ge
```

Values from the calculation:
* E_form: -0.213 eV per atom
* final energy: -24.16 eV per cell

No. 6
## GdLuSn (PBE)

Data for GdLuSn after structural relaxation.

Geometry as POSCAR:
```
GdLuSn
1.0
5.101 0.000 0.000
-2.550 4.417 0.000
0.000 0.000 3.786
Gd Lu Sn
1 1 1
Cartesian
0.000 0.000 0.000 Gd
2.550 1.472 1.703 Lu
0.000 2.945 2.456 Sn
```

Values from the calculation:
* energy relative to the lowest polymorph listed for this composition: 70 meV/atom
* E_form: -0.353 eV per atom
* final energy: -23.66 eV per cell

No. 7
## LiDy2PuO6 (PBE)

Data for LiDy2PuO6 after structural relaxation.

Geometry as POSCAR:
```
LiDy2PuO6
1.0
2.866 1.655 5.011
-2.866 1.655 5.011
0.000 -3.309 5.011
Li Dy Pu O
1 2 1 6
Cartesian
0.000 0.000 0.000 Li
0.000 0.000 4.062 Dy
0.000 0.000 11.690 Dy
0.000 0.000 7.230 Pu
-1.625 0.019 5.823 O
-1.100 -1.553 8.217 O
0.796 -1.417 5.823 O
-0.795 1.730 8.217 O
0.829 1.397 5.823 O
1.896 -0.176 8.217 O
```

Values from the calculation:
* formation energy from raw total energies: -2.9982 eV per atom
* final energy: -85.18 eV per cell

No. 8
## RbCdIn4 (PBE)

Data for RbCdIn4 after structural relaxation.

Geometry as POSCAR:
```
RbCdIn4
1.0
8.629 0.000 0.000
0.000 4.927 0.000
0.000 0.000 9.075
Rb Cd In
2 2 8
Cartesian
2.157 0.000 1.028 Rb
6.472 0.000 8.047 Rb
2.157 0.000 6.554 Cd
6.472 0.000 2.521 Cd
0.000 0.000 4.537 In
0.488 2.463 7.057 In
2.157 2.463 4.015 In
3.826 2.463 7.057 In
4.315 0.000 4.537 In
4.803 2.463 2.018 In
6.472 2.463 5.060 In
8.141 2.463 2.018 In
```

Values from the calculation:
* energy relative to the lowest polymorph listed for this composition: 23 meV/atom
* E_form: -0.040 eV per atom
* final energy: -26.15 eV per cell